one.
VASP calculation (PBE-GGA) on crystalline Tb2Tm3Mg3 at its relaxed geometry.

Space-group type: Immm
M_tot, μB/cell: 0.00

Cell: 3.7375 5.3702 11.5910 Å, 103.39 99.28 90.00°
Closest atoms and distances in Å follow each position.
Fractional coordinates of all 8 atoms:
Tb  0.2656  0.7656  0.5312  2 Mg 3.24, 4 Tb 3.34, 2 Tm 3.62
Tb  0.7344  0.2344  0.4688  2 Mg 3.24, 4 Tb 3.34, 2 Tm 3.62
Tm  0.3750  0.3750  0.7501  6 Mg 3.28-3.35, 4 Tb 3.62-3.64
Tm  0.6250  0.6250  0.2499  6 Mg 3.28-3.35, 4 Tb 3.62-3.64
Tm  0.5000  0.0000  0.0000  8 Mg 3.17-3.27
Mg  0.8847  0.8847  0.7694  6 Tm 3.17-3.28, 2 Tb 3.24
Mg  0.0000  0.5000  0.0000  8 Tm 3.27-3.35
Mg  0.1153  0.1153  0.2306  6 Tm 3.17-3.28, 2 Tb 3.24

two.
VASP calculation (PBE-GGA) on crystalline Tb2Tm3Mg3 at its relaxed geometry.

Space-group type: Pmmm
M_tot, μB/cell: 0.00

Cell: 5.2312 5.2553 8.1351 Å, 90.00 90.00 90.00°
Closest atoms and distances in Å follow each position.
Fractional coordinates of all 8 atoms:
Tb  0.0000  0.0000  0.7355  6 Mg 3.24-3.40, 2 Tm 3.39
Tb  0.0000  0.0000  0.2645  6 Mg 3.24-3.40, 2 Tm 3.39
Tm  0.5000  0.5000  0.7311  6 Mg 3.22-3.41, 2 Tm 3.42
Tm  0.5000  0.5000  0.2689  6 Mg 3.22-3.41, 2 Tm 3.42
Tm  0.5000  0.0000  0.0000  4 Tb 3.39, 4 Tm 3.42, 4 Mg 3.71
Mg  0.5000  0.0000  0.5000  4 Tm 3.23, 4 Tb 3.24
Mg  0.0000  0.5000  0.0000  4 Tb 3.40, 8 Tm 3.41-3.71
Mg  0.0000  0.5000  0.5000  4 Tm 3.22, 4 Tb 3.25

Short version: one is the most stable of them.